Here is crystalline V3CoH6 at its relaxed geometry from Alexandria. Energies are from GGA-PBE.

abc: 4.370 5.575 5.575
angles: 99.74 90.00 90.00
Atoms (fractional coordinates):
V  0.465  0.908  0.682
V  0.965  0.682  0.908
V  0.439  0.381  0.619
V  0.939  0.619  0.381
V  0.965  0.092  0.318
V  0.465  0.318  0.092
Co  0.975  0.163  0.837
Co  0.475  0.837  0.163
H  0.202  0.656  0.637
H  0.702  0.637  0.656
H  0.193  0.414  0.885
H  0.693  0.885  0.414
H  0.228  0.011  0.989
H  0.624  0.206  0.794
H  0.124  0.794  0.206
H  0.728  0.989  0.011
H  0.193  0.115  0.586
H  0.693  0.586  0.115
H  0.202  0.363  0.344
H  0.702  0.344  0.363

Properties
- Magnetization: 0.007 μB per cell
- Total energy: -111.5 eV for the cell shown